(a)
# BaC2S2 (PBE, optimized geometry)
# Crystal system: tetragonal
data_BaC2S2
_chemical_formula_sum 'Ba2 C4 S4'
_symmetry_space_group_name_H-M 'I 4/m m m'
_symmetry_Int_Tables_number 139
_symmetry_space_group_name_Hall '-I 4 2'
_cell_length_a 3.969
_cell_length_b 3.969
_cell_length_c 9.996
_cell_angle_alpha 90.00
_cell_angle_beta 90.00
_cell_angle_gamma 90.00
loop_
_atom_site_label
_atom_site_fract_x
_atom_site_fract_y
_atom_site_fract_z
Ba1 0.000 0.000 0.000
C1 0.000 0.500 0.250
S1 0.000 0.000 0.306

***

(b)
# BaC2S2 (PBE, optimized geometry)
# Crystal system: tetragonal
data_BaC2S2
_chemical_formula_sum 'Ba2 C4 S4'
_symmetry_space_group_name_H-M 'P 4/m b m'
_symmetry_Int_Tables_number 127
_symmetry_space_group_name_Hall '-P 4 2ab'
_cell_length_a 8.075
_cell_length_b 8.075
_cell_length_c 2.911
_cell_angle_alpha 90.00
_cell_angle_beta 90.00
_cell_angle_gamma 90.00
loop_
_atom_site_label
_atom_site_fract_x
_atom_site_fract_y
_atom_site_fract_z
Ba1 0.000 0.000 0.000
C1 0.232 0.268 0.500
S1 0.138 0.362 0.000

***

Which is most stable? The ranking, best first, is (b), (a).

***

(a)
# BaSb2TeC (PBE, optimized geometry)
# Crystal system: tetragonal
data_BaSb2TeC
_chemical_formula_sum 'Ba1 Sb2 Te1 C1'
_symmetry_space_group_name_H-M 'P 4/m m m'
_symmetry_Int_Tables_number 123
_symmetry_space_group_name_Hall '-P 4 2'
_cell_length_a 6.556
_cell_length_b 6.556
_cell_length_c 6.412
_cell_angle_alpha 90.00
_cell_angle_beta 90.00
_cell_angle_gamma 90.00
loop_
_atom_site_label
_atom_site_fract_x
_atom_site_fract_y
_atom_site_fract_z
Ba1 0.000 0.000 0.000
Sb1 0.000 0.500 0.000
Te1 0.000 0.000 0.500
C1 0.500 0.500 0.500

***

(b)
# BaSb2TeC (PBE, optimized geometry)
# Crystal system: tetragonal
data_BaSb2TeC
_chemical_formula_sum 'Ba1 Sb2 Te1 C1'
_symmetry_space_group_name_H-M 'P 4/m m m'
_symmetry_Int_Tables_number 123
_symmetry_space_group_name_Hall '-P 4 2'
_cell_length_a 5.741
_cell_length_b 5.741
_cell_length_c 6.581
_cell_angle_alpha 90.00
_cell_angle_beta 90.00
_cell_angle_gamma 90.00
loop_
_atom_site_label
_atom_site_fract_x
_atom_site_fract_y
_atom_site_fract_z
Ba1 0.000 0.000 0.000
Sb1 0.000 0.500 0.500
Te1 0.000 0.000 0.500
C1 0.500 0.500 0.000

***

Which is most stable? The ranking, best first, is (b), (a).

***

(a)
# BaSc3C (PBE, optimized geometry)
# Crystal system: cubic
data_BaSc3C
_chemical_formula_sum 'Ba1 Sc3 C1'
_symmetry_space_group_name_H-M 'P m -3 m'
_symmetry_Int_Tables_number 221
_symmetry_space_group_name_Hall '-P 4 2 3'
_cell_length_a 5.231
_cell_length_b 5.231
_cell_length_c 5.231
_cell_angle_alpha 90.00
_cell_angle_beta 90.00
_cell_angle_gamma 90.00
loop_
_atom_site_label
_atom_site_fract_x
_atom_site_fract_y
_atom_site_fract_z
Ba1 0.000 0.000 0.000
Sc1 0.000 0.000 0.500
C1 0.500 0.500 0.500

***

(b)
# BaSc3C (PBE, optimized geometry)
# Crystal system: cubic
data_BaSc3C
_chemical_formula_sum 'Ba1 Sc3 C1'
_symmetry_space_group_name_H-M 'P m -3 m'
_symmetry_Int_Tables_number 221
_symmetry_space_group_name_Hall '-P 4 2 3'
_cell_length_a 4.833
_cell_length_b 4.833
_cell_length_c 4.833
_cell_angle_alpha 90.00
_cell_angle_beta 90.00
_cell_angle_gamma 90.00
loop_
_atom_site_label
_atom_site_fract_x
_atom_site_fract_y
_atom_site_fract_z
Ba1 0.000 0.000 0.000
Sc1 0.000 0.500 0.500
C1 0.500 0.500 0.500

***

Which is most stable? The ranking, best first, is (b), (a).

***

(a)
# BaScC3 (PBE, optimized geometry)
# Crystal system: cubic
data_BaScC3
_chemical_formula_sum 'Ba1 Sc1 C3'
_symmetry_space_group_name_H-M 'P m -3 m'
_symmetry_Int_Tables_number 221
_symmetry_space_group_name_Hall '-P 4 2 3'
_cell_length_a 4.558
_cell_length_b 4.558
_cell_length_c 4.558
_cell_angle_alpha 90.00
_cell_angle_beta 90.00
_cell_angle_gamma 90.00
loop_
_atom_site_label
_atom_site_fract_x
_atom_site_fract_y
_atom_site_fract_z
Ba1 0.000 0.000 0.000
Sc1 0.500 0.500 0.500
C1 0.000 0.000 0.500

***

(b)
# BaScC3 (PBE, optimized geometry)
# Crystal system: cubic
data_BaScC3
_chemical_formula_sum 'Ba1 Sc1 C3'
_symmetry_space_group_name_H-M 'P m -3 m'
_symmetry_Int_Tables_number 221
_symmetry_space_group_name_Hall '-P 4 2 3'
_cell_length_a 4.423
_cell_length_b 4.423
_cell_length_c 4.423
_cell_angle_alpha 90.00
_cell_angle_beta 90.00
_cell_angle_gamma 90.00
loop_
_atom_site_label
_atom_site_fract_x
_atom_site_fract_y
_atom_site_fract_z
Ba1 0.000 0.000 0.000
Sc1 0.500 0.500 0.500
C1 0.000 0.500 0.500

***

Which is most stable? The ranking, best first, is (b), (a).

***

(a)
# Ba2CSe (PBE, optimized geometry)
# Crystal system: tetragonal
data_Ba2CSe
_chemical_formula_sum 'Ba8 C4 Se4'
_symmetry_space_group_name_H-M 'I -4 2 d'
_symmetry_Int_Tables_number 122
_symmetry_space_group_name_Hall 'I -4 2bw'
_cell_length_a 7.882
_cell_length_b 7.882
_cell_length_c 9.033
_cell_angle_alpha 90.00
_cell_angle_beta 90.00
_cell_angle_gamma 90.00
loop_
_atom_site_label
_atom_site_fract_x
_atom_site_fract_y
_atom_site_fract_z
Ba1 0.210 0.250 0.125
C1 0.000 0.000 0.000
Se1 0.000 0.000 0.500

***

(b)
# Ba2CSe (PBE, optimized geometry)
# Crystal system: cubic
data_Ba2CSe
_chemical_formula_sum 'Ba8 C4 Se4'
_symmetry_space_group_name_H-M 'F m -3 m'
_symmetry_Int_Tables_number 225
_symmetry_space_group_name_Hall '-F 4 2 3'
_cell_length_a 7.709
_cell_length_b 7.709
_cell_length_c 7.709
_cell_angle_alpha 90.00
_cell_angle_beta 90.00
_cell_angle_gamma 90.00
loop_
_atom_site_label
_atom_site_fract_x
_atom_site_fract_y
_atom_site_fract_z
Ba1 0.250 0.250 0.250
C1 0.000 0.000 0.000
Se1 0.000 0.000 0.500

***

Which is most stable? The ranking, best first, is (a), (b).

***

(a)
# BaSiC3 (PBE, optimized geometry)
# Crystal system: cubic
data_BaSiC3
_chemical_formula_sum 'Ba1 Si1 C3'
_symmetry_space_group_name_H-M 'P m -3 m'
_symmetry_Int_Tables_number 221
_symmetry_space_group_name_Hall '-P 4 2 3'
_cell_length_a 4.035
_cell_length_b 4.035
_cell_length_c 4.035
_cell_angle_alpha 90.00
_cell_angle_beta 90.00
_cell_angle_gamma 90.00
loop_
_atom_site_label
_atom_site_fract_x
_atom_site_fract_y
_atom_site_fract_z
Ba1 0.000 0.000 0.000
Si1 0.500 0.500 0.500
C1 0.000 0.500 0.500

***

(b)
# BaSiC3 (PBE, optimized geometry)
# Crystal system: cubic
data_BaSiC3
_chemical_formula_sum 'Ba1 Si1 C3'
_symmetry_space_group_name_H-M 'P m -3 m'
_symmetry_Int_Tables_number 221
_symmetry_space_group_name_Hall '-P 4 2 3'
_cell_length_a 4.739
_cell_length_b 4.739
_cell_length_c 4.739
_cell_angle_alpha 90.00
_cell_angle_beta 90.00
_cell_angle_gamma 90.00
loop_
_atom_site_label
_atom_site_fract_x
_atom_site_fract_y
_atom_site_fract_z
Ba1 0.000 0.000 0.000
Si1 0.500 0.500 0.500
C1 0.000 0.000 0.500

***

Which is most stable? The ranking, best first, is (a), (b).

***

(a)
# BaSn3C (PBE, optimized geometry)
# Crystal system: cubic
data_BaSn3C
_chemical_formula_sum 'Ba1 Sn3 C1'
_symmetry_space_group_name_H-M 'P m -3 m'
_symmetry_Int_Tables_number 221
_symmetry_space_group_name_Hall '-P 4 2 3'
_cell_length_a 6.374
_cell_length_b 6.374
_cell_length_c 6.374
_cell_angle_alpha 90.00
_cell_angle_beta 90.00
_cell_angle_gamma 90.00
loop_
_atom_site_label
_atom_site_fract_x
_atom_site_fract_y
_atom_site_fract_z
Ba1 0.000 0.000 0.000
Sn1 0.000 0.000 0.500
C1 0.500 0.500 0.500

***

(b)
# BaSn3C (PBE, optimized geometry)
# Crystal system: cubic
data_BaSn3C
_chemical_formula_sum 'Ba1 Sn3 C1'
_symmetry_space_group_name_H-M 'P m -3 m'
_symmetry_Int_Tables_number 221
_symmetry_space_group_name_Hall '-P 4 2 3'
_cell_length_a 5.092
_cell_length_b 5.092
_cell_length_c 5.092
_cell_angle_alpha 90.00
_cell_angle_beta 90.00
_cell_angle_gamma 90.00
loop_
_atom_site_label
_atom_site_fract_x
_atom_site_fract_y
_atom_site_fract_z
Ba1 0.000 0.000 0.000
Sn1 0.000 0.500 0.500
C1 0.500 0.500 0.500

***

Which is most stable? The ranking, best first, is (b), (a).

***

(a)
# Ba2SnC (PBE, optimized geometry)
# Crystal system: cubic
data_Ba2SnC
_chemical_formula_sum 'Ba8 Sn4 C4'
_symmetry_space_group_name_H-M 'F m -3 m'
_symmetry_Int_Tables_number 225
_symmetry_space_group_name_Hall '-F 4 2 3'
_cell_length_a 8.026
_cell_length_b 8.026
_cell_length_c 8.026
_cell_angle_alpha 90.00
_cell_angle_beta 90.00
_cell_angle_gamma 90.00
loop_
_atom_site_label
_atom_site_fract_x
_atom_site_fract_y
_atom_site_fract_z
Ba1 0.250 0.250 0.250
Sn1 0.000 0.000 0.000
C1 0.000 0.000 0.500

***

(b)
# Ba2SnC (PBE, optimized geometry)
# Crystal system: tetragonal
data_Ba2SnC
_chemical_formula_sum 'Ba8 Sn4 C4'
_symmetry_space_group_name_H-M 'I -4 2 d'
_symmetry_Int_Tables_number 122
_symmetry_space_group_name_Hall 'I -4 2bw'
_cell_length_a 8.838
_cell_length_b 8.838
_cell_length_c 6.720
_cell_angle_alpha 90.00
_cell_angle_beta 90.00
_cell_angle_gamma 90.00
loop_
_atom_site_label
_atom_site_fract_x
_atom_site_fract_y
_atom_site_fract_z
Ba1 0.158 0.750 0.125
Sn1 0.000 0.000 0.500
C1 0.000 0.000 0.000

***

Which is most stable? The ranking, best first, is (b), (a).

***

(a)
# BaSr3C (PBE, optimized geometry)
# Crystal system: cubic
data_BaSr3C
_chemical_formula_sum 'Ba1 Sr3 C1'
_symmetry_space_group_name_H-M 'P m -3 m'
_symmetry_Int_Tables_number 221
_symmetry_space_group_name_Hall '-P 4 2 3'
_cell_length_a 6.829
_cell_length_b 6.829
_cell_length_c 6.829
_cell_angle_alpha 90.00
_cell_angle_beta 90.00
_cell_angle_gamma 90.00
loop_
_atom_site_label
_atom_site_fract_x
_atom_site_fract_y
_atom_site_fract_z
Ba1 0.000 0.000 0.000
Sr1 0.000 0.000 0.500
C1 0.500 0.500 0.500

***

(b)
# BaSr3C (PBE, optimized geometry)
# Crystal system: cubic
data_BaSr3C
_chemical_formula_sum 'Ba1 Sr3 C1'
_symmetry_space_group_name_H-M 'P m -3 m'
_symmetry_Int_Tables_number 221
_symmetry_space_group_name_Hall '-P 4 2 3'
_cell_length_a 5.790
_cell_length_b 5.790
_cell_length_c 5.790
_cell_angle_alpha 90.00
_cell_angle_beta 90.00
_cell_angle_gamma 90.00
loop_
_atom_site_label
_atom_site_fract_x
_atom_site_fract_y
_atom_site_fract_z
Ba1 0.000 0.000 0.000
Sr1 0.000 0.500 0.500
C1 0.500 0.500 0.500

***

Which is most stable? The ranking, best first, is (b), (a).

***

(a)
# BaTa3C (PBE, optimized geometry)
# Crystal system: cubic
data_BaTa3C
_chemical_formula_sum 'Ba1 Ta3 C1'
_symmetry_space_group_name_H-M 'P m -3 m'
_symmetry_Int_Tables_number 221
_symmetry_space_group_name_Hall '-P 4 2 3'
_cell_length_a 4.540
_cell_length_b 4.540
_cell_length_c 4.540
_cell_angle_alpha 90.00
_cell_angle_beta 90.00
_cell_angle_gamma 90.00
loop_
_atom_site_label
_atom_site_fract_x
_atom_site_fract_y
_atom_site_fract_z
Ba1 0.000 0.000 0.000
Ta1 0.000 0.500 0.500
C1 0.500 0.500 0.500

***

(b)
# BaTa3C (PBE, optimized geometry)
# Crystal system: cubic
data_BaTa3C
_chemical_formula_sum 'Ba1 Ta3 C1'
_symmetry_space_group_name_H-M 'P m -3 m'
_symmetry_Int_Tables_number 221
_symmetry_space_group_name_Hall '-P 4 2 3'
_cell_length_a 5.052
_cell_length_b 5.052
_cell_length_c 5.052
_cell_angle_alpha 90.00
_cell_angle_beta 90.00
_cell_angle_gamma 90.00
loop_
_atom_site_label
_atom_site_fract_x
_atom_site_fract_y
_atom_site_fract_z
Ba1 0.000 0.000 0.000
Ta1 0.000 0.000 0.500
C1 0.500 0.500 0.500

***

Which is most stable? The ranking, best first, is (a), (b).

***

(a)
# BaTaC3 (PBE, optimized geometry)
# Crystal system: cubic
data_BaTaC3
_chemical_formula_sum 'Ba1 Ta1 C3'
_symmetry_space_group_name_H-M 'P m -3 m'
_symmetry_Int_Tables_number 221
_symmetry_space_group_name_Hall '-P 4 2 3'
_cell_length_a 4.401
_cell_length_b 4.401
_cell_length_c 4.401
_cell_angle_alpha 90.00
_cell_angle_beta 90.00
_cell_angle_gamma 90.00
loop_
_atom_site_label
_atom_site_fract_x
_atom_site_fract_y
_atom_site_fract_z
Ba1 0.000 0.000 0.000
Ta1 0.500 0.500 0.500
C1 0.000 0.000 0.500

***

(b)
# BaTaC3 (PBE, optimized geometry)
# Crystal system: cubic
data_BaTaC3
_chemical_formula_sum 'Ba1 Ta1 C3'
_symmetry_space_group_name_H-M 'P m -3 m'
_symmetry_Int_Tables_number 221
_symmetry_space_group_name_Hall '-P 4 2 3'
_cell_length_a 4.335
_cell_length_b 4.335
_cell_length_c 4.335
_cell_angle_alpha 90.00
_cell_angle_beta 90.00
_cell_angle_gamma 90.00
loop_
_atom_site_label
_atom_site_fract_x
_atom_site_fract_y
_atom_site_fract_z
Ba1 0.000 0.000 0.000
Ta1 0.500 0.500 0.500
C1 0.000 0.500 0.500

***

Which is most stable? The ranking, best first, is (b), (a).

***

(a)
# BaTaC2 (PBE, optimized geometry)
# Crystal system: cubic
data_BaTaC2
_chemical_formula_sum 'Ba4 Ta4 C8'
_symmetry_space_group_name_H-M 'F m -3 m'
_symmetry_Int_Tables_number 225
_symmetry_space_group_name_Hall '-F 4 2 3'
_cell_length_a 6.251
_cell_length_b 6.251
_cell_length_c 6.251
_cell_angle_alpha 90.00
_cell_angle_beta 90.00
_cell_angle_gamma 90.00
loop_
_atom_site_label
_atom_site_fract_x
_atom_site_fract_y
_atom_site_fract_z
Ba1 0.000 0.000 0.000
Ta1 0.000 0.000 0.500
C1 0.250 0.250 0.250

***

(b)
# BaTaC2 (PBE, optimized geometry)
# Crystal system: tetragonal
data_BaTaC2
_chemical_formula_sum 'Ba4 Ta4 C8'
_symmetry_space_group_name_H-M 'I -4 2 d'
_symmetry_Int_Tables_number 122
_symmetry_space_group_name_Hall 'I -4 2bw'
_cell_length_a 6.106
_cell_length_b 6.106
_cell_length_c 8.896
_cell_angle_alpha 90.00
_cell_angle_beta 90.00
_cell_angle_gamma 90.00
loop_
_atom_site_label
_atom_site_fract_x
_atom_site_fract_y
_atom_site_fract_z
Ba1 0.000 0.000 0.000
Ta1 0.000 0.000 0.500
C1 0.127 0.250 0.625

***

Which is most stable? The ranking, best first, is (b), (a).